A plane-wave DFT calculation with PBE+U was carried out for an optimized crystal structure of Li2CoNi3O8.

a = 5.6858 Å, b = 5.6858 Å, c = 5.6858 Å
α = 60.74°, β = 60.74°, γ = 60.74°
With the nearest neighbours (Å) after each atom.
Fractional coordinates of all 14 atoms:
Li (0.1208, 0.1208, 0.1208)  4 O 1.93-1.95
O (0.7358, 0.2949, 0.7358)  2 Ni 1.91, 1 Co 1.91, 1 Li 1.95
O (0.7358, 0.7358, 0.2949)  2 Ni 1.91, 1 Co 1.91, 1 Li 1.95
Ni (0.5000, 0.5000, 0.0000)  6 O 1.91-1.95
Co (0.5000, 0.5000, 0.5000)  6 O 1.91
O (0.2599, 0.2599, 0.2599)  1 Li 1.93, 3 Ni 1.95
O (0.2642, 0.7051, 0.2642)  2 Ni 1.91, 1 Co 1.91, 1 Li 1.95
O (0.2642, 0.2642, 0.7051)  2 Ni 1.91, 1 Co 1.91, 1 Li 1.95
Li (0.8792, 0.8792, 0.8792)  4 O 1.93-1.95
O (0.7401, 0.7401, 0.7401)  1 Li 1.93, 3 Ni 1.95
Ni (0.5000, 0.0000, 0.5000)  6 O 1.91-1.95
O (0.7051, 0.2642, 0.2642)  2 Ni 1.91, 1 Co 1.91, 1 Li 1.95
Ni (0.0000, 0.5000, 0.5000)  6 O 1.91-1.95
O (0.2949, 0.7358, 0.7358)  2 Ni 1.91, 1 Co 1.91, 1 Li 1.95

Computed properties:
The value obtained for the calculated total energy is -5.04 eV per atom. The calculation puts the magnetic moment at 0.0714 μB/atom. The value obtained for the excess energy over the best structure of this formula in the dataset is 10.0 meV/atom. Its crystal system is trigonal. Its space-group type is R-3m. The density of states at the Fermi level comes out at 3.79 states/eV per cell.